Record 1
# PBEsol InHgH2Cl, relaxed
# - Total energy: -11.8 eV per formula unit
# - Crystal system: tetragonal
data_InHgH2Cl
_chemical_formula_sum 'In1 Hg1 H2 Cl1'
_cell_length_a 3.9975
_cell_length_b 3.9975
_cell_length_c 6.1091
_cell_angle_alpha 90.00
_cell_angle_beta 90.00
_cell_angle_gamma 90.00
_space_group_name_H-M_alt 'P 4/m m m'
_space_group_IT_number 123
_space_group_name_Hall '-P 4 2'
loop_
_atom_site_label
_atom_site_type_symbol
_atom_site_fract_x
_atom_site_fract_y
_atom_site_fract_z
_atom_site_occupancy
In1 In 0.0000 0.0000 0.0000 1
Hg1 Hg 0.5000 0.5000 0.5000 1
H1 H 0.0000 0.5000 0.5000 1
Cl1 Cl 0.5000 0.5000 0.0000 1

Record 2
# PBEsol K2HgH2Cl4O, relaxed
# - Total energy: -35.5 eV per formula unit
# - Crystal system: orthorhombic
data_K2HgH2Cl4O
_chemical_formula_sum 'K8 Hg4 H8 Cl16 O4'
_cell_length_a 8.2345
_cell_length_b 11.6669
_cell_length_c 8.6826
_cell_angle_alpha 90.00
_cell_angle_beta 90.00
_cell_angle_gamma 90.00
_space_group_name_H-M_alt 'P b a m'
_space_group_IT_number 55
_space_group_name_Hall '-P 2 2ab'
loop_
_atom_site_label
_atom_site_type_symbol
_atom_site_fract_x
_atom_site_fract_y
_atom_site_fract_z
_atom_site_occupancy
K1 K 0.0808 0.1540 0.0000 1
K2 K 0.1046 0.1948 0.5000 1
Hg1 Hg 0.0000 0.5000 0.2288 1
H1 H 0.0900 0.9766 0.3071 1
Cl1 Cl 0.1183 0.6886 0.2532 1
Cl2 Cl 0.2034 0.4226 0.0000 1
Cl3 Cl 0.2503 0.4403 0.5000 1
O1 O 0.0000 0.0000 0.2378 1

Record 3
# PBEsol HgH10N2Cl4O, relaxed
# - Total energy: -76.8 eV per formula unit
# - Crystal system: orthorhombic
data_HgH10N2Cl4O
_chemical_formula_sum 'Hg4 H40 N8 Cl16 O4'
_cell_length_a 8.8499
_cell_length_b 11.4539
_cell_length_c 8.9760
_cell_angle_alpha 90.00
_cell_angle_beta 90.00
_cell_angle_gamma 90.00
_space_group_name_H-M_alt 'P b a m'
_space_group_IT_number 55
_space_group_name_Hall '-P 2 2ab'
loop_
_atom_site_label
_atom_site_type_symbol
_atom_site_fract_x
_atom_site_fract_y
_atom_site_fract_z
_atom_site_occupancy
Hg1 Hg 0.0000 0.0000 0.2148 1
H1 H 0.0325 0.2746 0.4067 1
H2 H 0.0531 0.3984 0.0961 1
H3 H 0.0644 0.6876 0.0000 1
H4 H 0.0834 0.5235 0.3092 1
H5 H 0.1195 0.2771 0.0000 1
H6 H 0.1525 0.3679 0.5000 1
H7 H 0.1816 0.2185 0.5000 1
N1 N 0.0439 0.3465 0.0000 1
N2 N 0.1009 0.2857 0.5000 1
Cl1 Cl 0.1246 0.8184 0.2520 1
Cl2 Cl 0.1924 0.0859 0.0000 1
Cl3 Cl 0.2210 0.5517 0.5000 1
O1 O 0.0000 0.5000 0.2406 1

Record 4
# PBEsol HoH2ClO2, relaxed
# - Total energy: -36.9 eV per formula unit
# - Crystal system: monoclinic
data_HoH2ClO2
_chemical_formula_sum 'Ho2 H4 Cl2 O4'
_cell_length_a 6.1541
_cell_length_b 3.5405
_cell_length_c 6.4677
_cell_angle_alpha 90.00
_cell_angle_beta 105.01
_cell_angle_gamma 90.00
_space_group_name_H-M_alt 'P 1 21/m 1'
_space_group_IT_number 11
_space_group_name_Hall '-P 2yb'
loop_
_atom_site_label
_atom_site_type_symbol
_atom_site_fract_x
_atom_site_fract_y
_atom_site_fract_z
_atom_site_occupancy
Ho1 Ho 0.2199 0.2500 0.3916 1
H1 H 0.1308 0.2500 0.8121 1
H2 H 0.3728 0.7500 0.7414 1
Cl1 Cl 0.2709 0.7500 0.0679 1
O1 O 0.0421 0.2500 0.6617 1
O2 O 0.3960 0.7500 0.5961 1

Record 5
# PBEsol H2ICl, relaxed
# - Total energy: -6.3 eV per formula unit
# - Crystal system: cubic
data_H2ICl
_chemical_formula_sum 'H8 I4 Cl4'
_cell_length_a 6.0089
_cell_length_b 6.0089
_cell_length_c 6.0089
_cell_angle_alpha 90.00
_cell_angle_beta 90.00
_cell_angle_gamma 90.00
_space_group_name_H-M_alt 'F m -3 m'
_space_group_IT_number 225
_space_group_name_Hall '-F 4 2 3'
loop_
_atom_site_label
_atom_site_type_symbol
_atom_site_fract_x
_atom_site_fract_y
_atom_site_fract_z
_atom_site_occupancy
H1 H 0.2500 0.2500 0.2500 1
I1 I 0.0000 0.0000 0.0000 1
Cl1 Cl 0.0000 0.0000 0.5000 1

Record 6
# PBEsol H2SeICl, relaxed
# - Total energy: -11.9 eV per formula unit
# - Crystal system: tetragonal
data_H2SeICl
_chemical_formula_sum 'H2 Se1 I1 Cl1'
_cell_length_a 3.8263
_cell_length_b 3.8263
_cell_length_c 7.8564
_cell_angle_alpha 90.00
_cell_angle_beta 90.00
_cell_angle_gamma 90.00
_space_group_name_H-M_alt 'P 4/m m m'
_space_group_IT_number 123
_space_group_name_Hall '-P 4 2'
loop_
_atom_site_label
_atom_site_type_symbol
_atom_site_fract_x
_atom_site_fract_y
_atom_site_fract_z
_atom_site_occupancy
H1 H 0.0000 0.5000 0.0000 1
Se1 Se 0.0000 0.0000 0.5000 1
I1 I 0.0000 0.0000 0.0000 1
Cl1 Cl 0.5000 0.5000 0.5000 1

Record 7
# PBEsol Te2HICl, relaxed
# - Total energy: -12.3 eV per formula unit
# - Crystal system: tetragonal
data_Te2HICl
_chemical_formula_sum 'Te2 H1 I1 Cl1'
_cell_length_a 4.2623
_cell_length_b 4.2623
_cell_length_c 7.2911
_cell_angle_alpha 90.00
_cell_angle_beta 90.00
_cell_angle_gamma 90.00
_space_group_name_H-M_alt 'P 4/m m m'
_space_group_IT_number 123
_space_group_name_Hall '-P 4 2'
loop_
_atom_site_label
_atom_site_type_symbol
_atom_site_fract_x
_atom_site_fract_y
_atom_site_fract_z
_atom_site_occupancy
Te1 Te 0.0000 0.5000 0.0000 1
H1 H 0.0000 0.0000 0.0000 1
I1 I 0.0000 0.0000 0.5000 1
Cl1 Cl 0.5000 0.5000 0.5000 1

Record 8
# PBEsol InHCl2, relaxed
# - Total energy: -12.7 eV per formula unit
# - Crystal system: trigonal
data_InHCl2
_chemical_formula_sum 'In3 H3 Cl6'
_cell_length_a 4.8466
_cell_length_b 4.8466
_cell_length_c 18.0676
_cell_angle_alpha 90.00
_cell_angle_beta 90.00
_cell_angle_gamma 120.00
_space_group_name_H-M_alt 'R -3 m'
_space_group_IT_number 166
_space_group_name_Hall '-R 3 2"'
loop_
_atom_site_label
_atom_site_type_symbol
_atom_site_fract_x
_atom_site_fract_y
_atom_site_fract_z
_atom_site_occupancy
In1 In 0.0000 0.0000 0.0000 1
H1 H 0.0000 0.0000 0.5000 1
Cl1 Cl 0.0000 0.0000 0.4140 1

Record 9
# PBEsol InH4NCl4, relaxed
# - Total energy: -41.1 eV per formula unit
# - Crystal system: tetragonal
data_InH4NCl4
_chemical_formula_sum 'In4 H16 N4 Cl16'
_cell_length_a 7.1473
_cell_length_b 7.1473
_cell_length_c 14.4357
_cell_angle_alpha 90.00
_cell_angle_beta 90.00
_cell_angle_gamma 90.00
_space_group_name_H-M_alt 'I 41/a'
_space_group_IT_number 88
loop_
_space_group_symop_operation_xyz
'x,y,z'
'-x,-y,-z'
'-y+3/4,x+1/4,z+1/4'
'y+3/4,-x+1/4,-z+1/4'
'-x+1/2,-y,z+1/2'
'x+1/2,y,-z+1/2'
'y+3/4,-x+3/4,z+3/4'
'-y+3/4,x+3/4,-z+3/4'
'x+1/2,y+1/2,z+1/2'
'-x+1/2,-y+1/2,-z+1/2'
'-y+1/4,x+3/4,z+3/4'
'y+1/4,-x+3/4,-z+3/4'
'-x,-y+1/2,z'
'x,y+1/2,-z'
'y+1/4,-x+1/4,z+1/4'
'-y+1/4,x+1/4,-z+1/4'
loop_
_atom_site_label
_atom_site_type_symbol
_atom_site_fract_x
_atom_site_fract_y
_atom_site_fract_z
_atom_site_occupancy
In1 In 0.0000 0.2500 0.1250 1
H1 H 0.0402 0.3613 0.6671 1
N1 N 0.0000 0.2500 0.6250 1
Cl1 Cl 0.1645 0.0223 0.2140 1

Record 10
# PBEsol InH9N3Cl3, relaxed
# - Total energy: -75.2 eV per formula unit
# - Crystal system: triclinic
data_InH9N3Cl3
_chemical_formula_sum 'In2 H18 N6 Cl6'
_cell_length_a 5.9062
_cell_length_b 6.6639
_cell_length_c 9.7562
_cell_angle_alpha 86.86
_cell_angle_beta 88.06
_cell_angle_gamma 84.67
_space_group_name_H-M_alt 'P -1'
_space_group_IT_number 2
_space_group_name_Hall '-P 1'
loop_
_atom_site_label
_atom_site_type_symbol
_atom_site_fract_x
_atom_site_fract_y
_atom_site_fract_z
_atom_site_occupancy
In1 In 0.0000 0.0000 0.0000 1
In2 In 0.5000 0.5000 0.5000 1
H1 H 0.0687 0.0457 0.7158 1
H2 H 0.0947 0.3354 0.4483 1
H3 H 0.1800 0.5978 0.0634 1
H4 H 0.2312 0.8388 0.7677 1
H5 H 0.2501 0.7452 0.1846 1
H6 H 0.2613 0.3161 0.3073 1
H7 H 0.3030 0.1529 0.4396 1
H8 H 0.3169 0.0701 0.7842 1
H9 H 0.3931 0.7420 0.0345 1
N1 N 0.1790 0.9864 0.7907 1
N2 N 0.2319 0.7381 0.0798 1
N3 N 0.2605 0.3040 0.4137 1
Cl1 Cl 0.2470 0.8134 0.4167 1
Cl2 Cl 0.2734 0.4957 0.7223 1
Cl3 Cl 0.2767 0.2338 0.0821 1

Record 11
# PBEsol InHOsCl2, relaxed
# - Total energy: -17.3 eV per formula unit
# - Crystal system: tetragonal
data_InHOsCl2
_chemical_formula_sum 'In1 H1 Os1 Cl2'
_cell_length_a 5.2244
_cell_length_b 5.2244
_cell_length_c 3.4140
_cell_angle_alpha 90.00
_cell_angle_beta 90.00
_cell_angle_gamma 90.00
_space_group_name_H-M_alt 'P 4/m m m'
_space_group_IT_number 123
_space_group_name_Hall '-P 4 2'
loop_
_atom_site_label
_atom_site_type_symbol
_atom_site_fract_x
_atom_site_fract_y
_atom_site_fract_z
_atom_site_occupancy
In1 In 0.0000 0.0000 0.0000 1
H1 H 0.0000 0.0000 0.5000 1
Os1 Os 0.5000 0.5000 0.5000 1
Cl1 Cl 0.0000 0.5000 0.0000 1

Record 12
# PBEsol InHRh2Cl, relaxed
# - Total energy: -19.3 eV per formula unit
# - Crystal system: tetragonal
data_InHRh2Cl
_chemical_formula_sum 'In1 H1 Rh2 Cl1'
_cell_length_a 4.9984
_cell_length_b 4.9984
_cell_length_c 3.3885
_cell_angle_alpha 90.00
_cell_angle_beta 90.00
_cell_angle_gamma 90.00
_space_group_name_H-M_alt 'P 4/m m m'
_space_group_IT_number 123
_space_group_name_Hall '-P 4 2'
loop_
_atom_site_label
_atom_site_type_symbol
_atom_site_fract_x
_atom_site_fract_y
_atom_site_fract_z
_atom_site_occupancy
In1 In 0.0000 0.0000 0.0000 1
H1 H 0.0000 0.0000 0.5000 1
Rh1 Rh 0.0000 0.5000 0.0000 1
Cl1 Cl 0.5000 0.5000 0.5000 1

Record 13
# PBEsol H2IrCl2, relaxed
# - Total energy: -17.8 eV per formula unit
# - Crystal system: tetragonal
data_H2IrCl2
_chemical_formula_sum 'H4 Ir2 Cl4'
_cell_length_a 4.3327
_cell_length_b 4.3327
_cell_length_c 6.0846
_cell_angle_alpha 90.00
_cell_angle_beta 90.00
_cell_angle_gamma 90.00
_space_group_name_H-M_alt 'I 4/m m m'
_space_group_IT_number 139
_space_group_name_Hall '-I 4 2'
loop_
_atom_site_label
_atom_site_type_symbol
_atom_site_fract_x
_atom_site_fract_y
_atom_site_fract_z
_atom_site_occupancy
H1 H 0.0000 0.0000 0.0623 1
Ir1 Ir 0.0000 0.0000 0.5000 1
Cl1 Cl 0.0000 0.5000 0.2500 1

Record 14
# PBEsol H3IrCl, relaxed
# - Total energy: -18.6 eV per formula unit
# - Crystal system: cubic
data_H3IrCl
_chemical_formula_sum 'H3 Ir1 Cl1'
_cell_length_a 3.5582
_cell_length_b 3.5582
_cell_length_c 3.5582
_cell_angle_alpha 90.00
_cell_angle_beta 90.00
_cell_angle_gamma 90.00
_space_group_name_H-M_alt 'P m -3 m'
_space_group_IT_number 221
_space_group_name_Hall '-P 4 2 3'
loop_
_atom_site_label
_atom_site_type_symbol
_atom_site_fract_x
_atom_site_fract_y
_atom_site_fract_z
_atom_site_occupancy
H1 H 0.0000 0.0000 0.5000 1
Ir1 Ir 0.0000 0.0000 0.0000 1
Cl1 Cl 0.5000 0.5000 0.5000 1

Record 15
# PBEsol HIr2Cl, relaxed
# - Crystal system: tetragonal
# - Polymorph energy (0 for the lowest one): 0.000 eV/atom
data_HIr2Cl
_chemical_formula_sum 'H4 Ir8 Cl4'
_cell_length_a 4.8345
_cell_length_b 4.8345
_cell_length_c 8.8941
_cell_angle_alpha 90.00
_cell_angle_beta 90.00
_cell_angle_gamma 90.00
_space_group_name_H-M_alt 'I -4 2 d'
_space_group_IT_number 122
_space_group_name_Hall 'I -4 2bw'
loop_
_atom_site_label
_atom_site_type_symbol
_atom_site_fract_x
_atom_site_fract_y
_atom_site_fract_z
_atom_site_occupancy
H1 H 0.0000 0.0000 0.0000 1
Ir1 Ir 0.1363 0.2500 0.1250 1
Cl1 Cl 0.0000 0.0000 0.5000 1

Record 16
# PBEsol HIrCl2, relaxed
# - Total energy: -14.6 eV per formula unit
# - Crystal system: tetragonal
data_HIrCl2
_chemical_formula_sum 'H4 Ir4 Cl8'
_cell_length_a 5.0397
_cell_length_b 5.0397
_cell_length_c 9.1009
_cell_angle_alpha 90.00
_cell_angle_beta 90.00
_cell_angle_gamma 90.00
_space_group_name_H-M_alt 'I -4 2 d'
_space_group_IT_number 122
_space_group_name_Hall 'I -4 2bw'
loop_
_atom_site_label
_atom_site_type_symbol
_atom_site_fract_x
_atom_site_fract_y
_atom_site_fract_z
_atom_site_occupancy
H1 H 0.0000 0.0000 0.0000 1
Ir1 Ir 0.0000 0.0000 0.5000 1
Cl1 Cl 0.1872 0.2500 0.1250 1

Record 17
# PBEsol HIr2Cl, relaxed
# - Crystal system: cubic
# - Polymorph energy (0 for the lowest one): 0.643 eV/atom
data_HIr2Cl
_chemical_formula_sum 'H4 Ir8 Cl4'
_cell_length_a 5.7487
_cell_length_b 5.7487
_cell_length_c 5.7487
_cell_angle_alpha 90.00
_cell_angle_beta 90.00
_cell_angle_gamma 90.00
_space_group_name_H-M_alt 'F m -3 m'
_space_group_IT_number 225
_space_group_name_Hall '-F 4 2 3'
loop_
_atom_site_label
_atom_site_type_symbol
_atom_site_fract_x
_atom_site_fract_y
_atom_site_fract_z
_atom_site_occupancy
H1 H 0.0000 0.0000 0.0000 1
Ir1 Ir 0.2500 0.2500 0.2500 1
Cl1 Cl 0.0000 0.0000 0.5000 1